This record from the Alexandria database describes a geometry-optimized Er5ThMg4 structure. The functional is PBE.

a b c (Å): 3.6848 3.6848 20.3466
angles (deg): 90.00 90.00 90.00
Last column: nearest neighbours and their distance in Å.
Sites, in units of the cell vectors:
Er 0.0000 0.0000 0.0000  8 Mg 3.24
Er 0.0000 0.0000 0.1884  8 Mg 3.23-3.27
Er 0.0000 0.0000 0.3856  4 Mg 3.30, 4 Th 3.49, 4 Er 3.68
Er 0.0000 0.0000 0.6144  4 Mg 3.30, 4 Th 3.49, 4 Er 3.68
Er 0.0000 0.0000 0.8116  8 Mg 3.23-3.27
Th 0.5000 0.5000 0.5000  8 Er 3.49, 4 Th 3.68
Mg 0.5000 0.5000 0.0948  8 Er 3.23-3.24
Mg 0.5000 0.5000 0.2859  8 Er 3.27-3.30
Mg 0.5000 0.5000 0.7141  8 Er 3.27-3.30
Mg 0.5000 0.5000 0.9052  8 Er 3.23-3.24

Summary:
- Energy relative to the elements: -49 meV per atom
- DFT total energy: -37.10 eV for the cell shown
- Symmetry: P4/mmm

This record from the Alexandria database describes a geometry-optimized Sr2P7Br structure. The functional is PBE.

a b c (Å): 9.9228 9.9228 9.9228
angles (deg): 90.00 90.00 90.00
Last column: nearest neighbours and their distance in Å.
Sites, in units of the cell vectors:
Sr 0.0873 0.0873 0.0873  12 P 3.15-3.40, 1 Br 3.16
Sr 0.1490 0.6490 0.8510  4 P 3.17-3.22, 3 Br 3.55
Sr 0.3510 0.3510 0.3510  4 P 3.17-3.22, 3 Br 3.55
Sr 0.4127 0.9127 0.5873  12 P 3.15-3.40, 1 Br 3.16
Sr 0.5873 0.4127 0.9127  12 P 3.15-3.40, 1 Br 3.16
Sr 0.6490 0.8510 0.1490  4 P 3.17-3.22, 3 Br 3.55
Sr 0.8510 0.1490 0.6490  4 P 3.17-3.22, 3 Br 3.55
Sr 0.9127 0.5873 0.4127  12 P 3.15-3.40, 1 Br 3.16
P 0.0354 0.9646 0.4646  3 P 2.19
P 0.0572 0.3820 0.2177  2 P 2.17-2.19
P 0.1120 0.7696 0.2017  3 P 2.17-2.29
P 0.1180 0.7823 0.5572  2 P 2.17-2.19
P 0.2017 0.1120 0.7696  3 P 2.17-2.29
P 0.2177 0.0572 0.3820  2 P 2.17-2.19
P 0.2304 0.7017 0.3880  3 P 2.17-2.29
P 0.2696 0.2983 0.8880  3 P 2.17-2.29
P 0.2823 0.9428 0.8820  2 P 2.17-2.19
P 0.2983 0.8880 0.2696  3 P 2.17-2.29
P 0.3820 0.2177 0.0572  2 P 2.17-2.19
P 0.3880 0.2304 0.7017  3 P 2.17-2.29
P 0.4428 0.6180 0.7177  2 P 2.17-2.19
P 0.4646 0.0354 0.9646  3 P 2.19
P 0.5354 0.5354 0.5354  3 P 2.19
P 0.5572 0.1180 0.7823  2 P 2.17-2.19
P 0.6120 0.7304 0.7983  3 P 2.17-2.29
P 0.6180 0.7177 0.4428  2 P 2.17-2.19
P 0.7017 0.3880 0.2304  3 P 2.17-2.29
P 0.7177 0.4428 0.6180  2 P 2.17-2.19
P 0.7304 0.7983 0.6120  3 P 2.17-2.29
P 0.7696 0.2017 0.1120  3 P 2.17-2.29
P 0.7823 0.5572 0.1180  2 P 2.17-2.19
P 0.7983 0.6120 0.7304  3 P 2.17-2.29
P 0.8820 0.2823 0.9428  2 P 2.17-2.19
P 0.8880 0.2696 0.2983  3 P 2.17-2.29
P 0.9428 0.8820 0.2823  2 P 2.17-2.19
P 0.9646 0.4646 0.0354  3 P 2.19
Br 0.0963 0.4037 0.5963  1 Sr 3.16, 3 P 3.52
Br 0.4037 0.5963 0.0963  1 Sr 3.16, 3 P 3.52
Br 0.5963 0.0963 0.4037  1 Sr 3.16, 3 P 3.52
Br 0.9037 0.9037 0.9037  1 Sr 3.16, 3 P 3.52

Summary:
- ΔE_f (raw): -0.72 eV/atom
- DFT total energy: -200.59 eV for the cell shown
- Symmetry: P2_13

This record from the Alexandria database describes a geometry-optimized LaOs2W structure. The functional is PBE.

a b c (Å): 4.9009 4.9009 3.0560
angles (deg): 90.00 90.00 90.00
Last column: nearest neighbours and their distance in Å.
Sites, in units of the cell vectors:
La 0.0000 0.0000 0.0000  8 Os 2.89, 2 La 3.06
Os 0.0000 0.5000 0.5000  4 La 2.89, 4 W 2.89, 2 Os 3.06
Os 0.5000 0.0000 0.5000  4 La 2.89, 4 W 2.89, 2 Os 3.06
W 0.5000 0.5000 0.0000  8 Os 2.89, 2 W 3.06

Summary:
- Energy relative to the elements: 599 meV per atom
- DFT total energy: -37.94 eV for the cell shown
- Symmetry: P4/mmm